Computed, not measured: a relaxed structure of DyAlZnS4 at the PBE level of DFT.

The structure in POSCAR format:
```
DyAlZnS4
1.0
-3.729 3.767 5.303
3.729 -3.767 5.303
3.729 3.767 -5.303
Dy Al Zn S
2 2 2 8
Direct
0.000 0.000 0.000
0.500 0.000 0.500
0.500 0.000 0.000
0.500 0.500 0.500
0.128 0.378 0.750
0.872 0.622 0.250
0.268 0.271 0.503
0.268 0.764 0.997
0.272 0.745 0.527
0.283 0.255 0.027
0.717 0.745 0.973
0.728 0.255 0.473
0.732 0.236 0.003
0.732 0.729 0.497
```

Values from the calculation:
As for the calculated density: 4.3 g cm⁻³. For the formation energy (no corrections), the calculation gives -1.2584 eV per atom. Its magnetic moment is 0.000 μB/cell.